Record 1
BeSiN2 after structural relaxation, computed with PBE.

Cell: 4.954 4.954 4.954 Å, 90.00 90.00 90.00°
Space group Fm-3m (No. 225)
Inequivalent atoms, fractional coordinates:
Be 0.000 0.000 0.000 [4 per cell]
Si 0.000 0.000 0.500 [4 per cell]
N 0.250 0.250 0.250 [8 per cell]

---

Record 2
NiTeN after structural relaxation, computed with PBE.

Cell: 3.864 4.095 17.759 Å, 90.00 90.00 90.00°
Space group Immm (No. 71)
Inequivalent atoms, fractional coordinates:
Ni 0.000 0.000 0.245 [4 per cell]
Te 0.000 0.500 0.164 [4 per cell]
N 0.000 0.364 0.500 [4 per cell]

Summary:
ΔE to the lowest computed polymorph: 0.272 kcal/mol of atoms

---

Total DFT energy (no corrections) for the records above, in order: -88.0; -69.5 eV for the cell shown
Energy relative to the elements, uncorrected for the records above, in order: 0.95; -0.04 eV per atom